No. 1
Density functional theory data (PBE) for an optimized crystal structure of Tb2ErTh.

ΔE_f: 174 meV/atom
Calculated volume: 128.3 Å³/cell
ρ: 9.28 g/cm3

Unit cell a=5.6612 b=5.6612 c=5.6612 alpha=60.00 beta=60.00 gamma=60.00
With the nearest neighbours (Å) after each atom.
Positions (direct):
Tb: 0.2500 0.2500 0.2500  4 Th 3.47, 4 Er 3.47
Tb: 0.7500 0.7500 0.7500  4 Th 3.47, 4 Er 3.47
Er: 0.0000 0.0000 0.0000  8 Tb 3.47
Th: 0.5000 0.5000 0.5000  8 Tb 3.47



No. 2
Density functional theory data (PBE) for an optimized crystal structure of BeHgPd2.

ΔE_f: -101 meV/atom
Calculated volume: 61.5 Å³/cell
ρ: 11.41 g/cm3

Unit cell a=4.4297 b=4.4297 c=4.4297 alpha=60.00 beta=60.00 gamma=60.00
With the nearest neighbours (Å) after each atom.
Positions (direct):
Be: 0.0000 0.0000 0.0000  8 Pd 2.71
Hg: 0.5000 0.5000 0.5000  8 Pd 2.71
Pd: 0.2500 0.2500 0.2500  4 Hg 2.71, 4 Be 2.71
Pd: 0.7500 0.7500 0.7500  4 Hg 2.71, 4 Be 2.71